No. 1
Entry from Alexandria: a relaxed structure of SrAl (PBE).

Cell lengths 7.675, 7.675, 6.977 Å; angles 62.96, 62.96, 32.96 degrees
Fractional positions:
Al 0.371 0.371 0.365
Al 0.573 0.573 0.163
Al 0.972 0.972 0.075
Sr 0.264 0.264 0.041
Sr 0.680 0.680 0.625
Sr 0.972 0.972 0.565

Summary:
- DFT formation energy (eV per atom) = -0.11

---

No. 2
Entry from Alexandria: a relaxed structure of SrAl12 (PBE).

Cell lengths 5.465, 7.179, 7.179 Å; angles 81.67, 67.63, 67.63 degrees
Fractional positions:
Al 0.500 0.225 0.775
Al 0.500 0.500 0.000
Al 0.000 0.358 0.642
Al 0.000 0.500 0.000
Al 0.500 0.000 0.500
Al 0.000 0.000 0.500
Al 0.725 0.775 0.775
Al 0.275 0.225 0.225
Al 0.000 0.642 0.358
Al 0.642 0.358 0.358
Al 0.358 0.642 0.642
Al 0.500 0.775 0.225
Sr 0.000 0.000 0.000

Summary:
- DFT formation energy (eV per atom) = -0.05

---

No. 3
Entry from Alexandria: a relaxed structure of SrAl (PBE).

Cell lengths 5.768, 5.768, 6.656 Å; angles 90.00, 90.00, 120.00 degrees
Last column: magnetic moment on the atom in μB.
Fractional positions:
Al 0.667 0.333 0.750  0.09
Al 0.333 0.667 0.250  0.09
Sr 0.667 0.333 0.250  0.08
Sr 0.333 0.667 0.750  0.08

Summary:
- DFT formation energy (eV per atom) = 0.59

---

No. 4
Entry from Alexandria: a relaxed structure of SrAl3 (PBE).

Cell lengths 5.681, 5.681, 3.088 Å; angles 90.00, 90.00, 113.45 degrees
Fractional positions:
Sr 0.000 0.000 0.000
Al 0.000 0.500 0.500
Al 0.500 0.000 0.500
Al 0.500 0.500 0.000

Summary:
- DFT formation energy (eV per atom) = 0.17

---

No. 5
Entry from Alexandria: a relaxed structure of SrAl (PBE).

Cell lengths 9.208, 9.208, 5.407 Å; angles 90.00, 90.00, 120.00 degrees
Fractional positions:
Sr 0.368 0.184 0.250
Sr 0.632 0.816 0.750
Sr 0.816 0.184 0.250
Sr 0.184 0.368 0.750
Sr 0.184 0.816 0.750
Sr 0.816 0.632 0.250
Al 0.571 0.429 0.750
Al 0.429 0.571 0.250
Al 0.859 0.429 0.750
Al 0.429 0.859 0.250
Al 0.571 0.141 0.750
Al 0.141 0.571 0.250

Summary:
- DFT formation energy (eV per atom) = -0.13

---

No. 6
Entry from Alexandria: a relaxed structure of SrAl (PBE).

Cell lengths 4.722, 4.722, 4.722 Å; angles 60.00, 60.00, 60.00 degrees
Fractional positions:
Al 0.000 0.000 0.000
Sr 0.500 0.500 0.500

Summary:
- DFT formation energy (eV per atom) = 0.30

---

No. 7
Entry from Alexandria: a relaxed structure of SrAl (PBE).

Cell lengths 3.671, 3.671, 9.407 Å; angles 90.00, 90.00, 90.00 degrees
Fractional positions:
Sr 0.250 0.250 0.690
Sr 0.750 0.750 0.310
Al 0.250 0.250 0.068
Al 0.750 0.750 0.932

Summary:
- DFT formation energy (eV per atom) = -0.02

---

No. 8
Entry from Alexandria: a relaxed structure of SrTa2Al (PBE).

Cell lengths 4.934, 4.934, 4.934 Å; angles 120.17, 120.17, 89.71 degrees
Fractional positions:
Ta 0.000 0.000 0.000
Ta 0.250 0.750 0.500
Sr 0.750 0.250 0.500
Al 0.500 0.500 0.000

Summary:
- DFT formation energy (eV per atom) = 0.67

---

No. 9
Entry from Alexandria: a relaxed structure of SrTaAl (PBE).

Cell lengths 3.176, 3.176, 7.914 Å; angles 90.00, 90.00, 120.00 degrees
Fractional positions:
Ta 0.667 0.333 0.695
Al 0.000 0.000 0.972
Sr 0.333 0.667 0.333

Summary:
- DFT formation energy (eV per atom) = 0.58
- E above lowest polymorph (meV per atom) = 216.5

---

No. 10
Entry from Alexandria: a relaxed structure of SrTa2Al (PBE).

Cell lengths 6.396, 6.396, 6.396 Å; angles 154.14, 129.86, 57.26 degrees
Fractional positions:
Sr 0.250 0.750 0.500
Ta 0.967 0.967 0.000
Ta 0.533 0.533 0.000
Al 0.750 0.250 0.500

Summary:
- DFT formation energy (eV per atom) = 0.52

---

No. 11
Entry from Alexandria: a relaxed structure of SrTa2Al (PBE).

Cell lengths 5.674, 6.033, 2.876 Å; angles 79.08, 84.04, 116.46 degrees
Fractional positions:
Sr 0.500 0.500 0.000
Al 0.000 0.500 0.500
Ta 0.000 0.000 0.000
Ta 0.500 0.000 0.500

Summary:
- DFT formation energy (eV per atom) = 0.71

---

No. 12
Entry from Alexandria: a relaxed structure of SrTaAl (PBE).

Cell lengths 5.052, 5.052, 5.052 Å; angles 60.00, 60.00, 60.00 degrees
Last column: magnetic moment on the atom in μB.
Fractional positions:
Al 0.500 0.500 0.500  -0.05
Ta 0.000 0.000 0.000  1.56
Sr 0.750 0.750 0.750  0.13

Summary:
- DFT formation energy (eV per atom) = 1.82
- E above lowest polymorph (meV per atom) = 1457.3

---

Number 1: Fermi-level density of states 2.0 states/eV/cell, total magnetization 0.00 Bohr magnetons per cell. Number 2: Fermi-level density of states 5.4 states/eV/cell, total magnetization 0.00 Bohr magnetons per cell. Number 3: Fermi-level density of states 5.4 states/eV/cell, total magnetization 1.68 Bohr magnetons per cell. Number 4: Fermi-level density of states 2.3 states/eV/cell, total magnetization 0.00 Bohr magnetons per cell. Number 5: Fermi-level density of states 7.5 states/eV/cell, total magnetization 0.00 Bohr magnetons per cell. Number 6: Fermi-level density of states 2.0 states/eV/cell, total magnetization 0.00 Bohr magnetons per cell. Number 7: Fermi-level density of states 2.3 states/eV/cell, total magnetization 0.00 Bohr magnetons per cell. Number 8: Fermi-level density of states 5.3 states/eV/cell, total magnetization 0.00 Bohr magnetons per cell. Number 9: Fermi-level density of states 2.5 states/eV/cell, total magnetization 0.00 Bohr magnetons per cell. Number 10: Fermi-level density of states 3.1 states/eV/cell, total magnetization 0.00 Bohr magnetons per cell. Number 11: Fermi-level density of states 4.2 states/eV/cell, total magnetization 0.00 Bohr magnetons per cell. Number 12: Fermi-level density of states 6.2 states/eV/cell, total magnetization 2.30 Bohr magnetons per cell.